one.
Entry from Alexandria via LeMat-Bulk: a relaxed AgPRu2 crystal (PBE).

```
data_AgPRu2
_cell_length_a 3.863
_cell_length_b 3.863
_cell_length_c 7.768
_cell_angle_alpha 90.00
_cell_angle_beta 90.00
_cell_angle_gamma 90.00
_symmetry_space_group_name_H-M 'I -4 m 2'
_symmetry_Int_Tables_number 119
_symmetry_space_group_name_Hall 'I -4 -2'
loop_
_atom_site_label
_atom_site_type_symbol
_atom_site_fract_x
_atom_site_fract_y
_atom_site_fract_z
_atom_site_occupancy
Ag1 Ag 0.000 0.000 0.000 1
P1 P 0.000 0.500 0.750 1
Ru1 Ru 0.000 0.000 0.500 1
Ru2 Ru 0.000 0.500 0.250 1
```

Calculated volume: 14.486 Å³/atom

---

two.
Entry from Alexandria via LeMat-Bulk: a relaxed AgPRu2 crystal (PBE).

```
data_AgPRu2
_cell_length_a 6.969
_cell_length_b 6.969
_cell_length_c 5.154
_cell_angle_alpha 90.00
_cell_angle_beta 90.00
_cell_angle_gamma 90.00
_symmetry_space_group_name_H-M 'I -4 2 d'
_symmetry_Int_Tables_number 122
_symmetry_space_group_name_Hall 'I -4 2bw'
loop_
_atom_site_label
_atom_site_type_symbol
_atom_site_fract_x
_atom_site_fract_y
_atom_site_fract_z
_atom_site_occupancy
Ag1 Ag 0.000 0.000 0.000 1
P1 P 0.000 0.000 0.500 1
Ru1 Ru 0.179 0.250 0.625 1
```

Calculated volume: 15.647 Å³/atom

---

Most favorable structure: two. The second most favorable one is 33.9 kJ/mol of atoms above it.

---

one.
Entry from Alexandria via LeMat-Bulk: a relaxed ScMnSe2 crystal (PBE).

```
data_ScMnSe2
_cell_length_a 3.8318
_cell_length_b 3.8318
_cell_length_c 16.3768
_cell_angle_alpha 90.00
_cell_angle_beta 90.00
_cell_angle_gamma 120.00
_symmetry_space_group_name_H-M 'R -3 m'
_symmetry_Int_Tables_number 166
_symmetry_space_group_name_Hall '-R 3 2"'
loop_
_atom_site_label
_atom_site_type_symbol
_atom_site_fract_x
_atom_site_fract_y
_atom_site_fract_z
_atom_site_occupancy
Sc1 Sc 0.0000 0.0000 0.0000 1
Mn1 Mn 0.0000 0.0000 0.5000 1
Se1 Se 0.0000 0.0000 0.2363 1
```

Calculated volume: 17.353 Å³/atom

---

two.
Entry from Alexandria via LeMat-Bulk: a relaxed ScMnSe2 crystal (PBE).

```
data_ScMnSe2
_cell_length_a 4.638
_cell_length_b 4.638
_cell_length_c 3.394
_cell_angle_alpha 90.00
_cell_angle_beta 90.00
_cell_angle_gamma 90.00
_symmetry_space_group_name_H-M 'P 4/m m m'
_symmetry_Int_Tables_number 123
_symmetry_space_group_name_Hall '-P 4 2'
loop_
_atom_site_label
_atom_site_type_symbol
_atom_site_fract_x
_atom_site_fract_y
_atom_site_fract_z
_atom_site_occupancy
Sc1 Sc 0.000 0.000 0.000 1
Mn1 Mn 0.500 0.500 0.000 1
Se1 Se 0.000 0.500 0.500 1
```

Calculated volume: 18.252 Å³/atom

---

Most favorable structure: two. The second most favorable one is 4.4 kJ/mol of atoms above it.

---

one.
Entry from Alexandria via LeMat-Bulk: a relaxed NpReP2 crystal (PBE).

```
data_NpReP2
_cell_length_a 3.330
_cell_length_b 3.330
_cell_length_c 12.962
_cell_angle_alpha 90.00
_cell_angle_beta 90.00
_cell_angle_gamma 90.00
_symmetry_space_group_name_H-M 'I -4 m 2'
_symmetry_Int_Tables_number 119
_symmetry_space_group_name_Hall 'I -4 -2'
loop_
_atom_site_label
_atom_site_type_symbol
_atom_site_fract_x
_atom_site_fract_y
_atom_site_fract_z
_atom_site_occupancy
Np1 Np 0.000 0.000 0.000 1
Re1 Re 0.000 0.500 0.750 1
P1 P 0.000 0.000 0.373 1
```

Calculated volume: 17.963 Å³/atom

---

two.
Entry from Alexandria via LeMat-Bulk: a relaxed NpReP2 crystal (PBE).

```
data_NpReP2
_cell_length_a 2.9503
_cell_length_b 2.9503
_cell_length_c 27.4973
_cell_angle_alpha 90.00
_cell_angle_beta 90.00
_cell_angle_gamma 120.00
_symmetry_space_group_name_H-M 'R -3 m'
_symmetry_Int_Tables_number 166
_symmetry_space_group_name_Hall '-R 3 2"'
loop_
_atom_site_label
_atom_site_type_symbol
_atom_site_fract_x
_atom_site_fract_y
_atom_site_fract_z
_atom_site_occupancy
Np1 Np 0.0000 0.0000 0.0000 1
Re1 Re 0.0000 0.0000 0.5000 1
P1 P 0.0000 0.0000 0.1033 1
```

Calculated volume: 17.274 Å³/atom

---

Most favorable structure: one. The second most favorable one is 27.4 kJ/mol of atoms above it.

---

one.
Entry from Alexandria via LeMat-Bulk: a relaxed CaScCdIn crystal (PBE).

```
data_CaScCdIn
_cell_length_a 7.369
_cell_length_b 7.369
_cell_length_c 7.369
_cell_angle_alpha 90.00
_cell_angle_beta 90.00
_cell_angle_gamma 90.00
_symmetry_space_group_name_H-M 'F -4 3 m'
_symmetry_Int_Tables_number 216
_symmetry_space_group_name_Hall 'F -4 2 3'
loop_
_atom_site_label
_atom_site_type_symbol
_atom_site_fract_x
_atom_site_fract_y
_atom_site_fract_z
_atom_site_occupancy
Ca1 Ca 0.000 0.000 0.000 1
Sc1 Sc 0.000 0.000 0.500 1
Cd1 Cd 0.250 0.250 0.250 1
In1 In 0.250 0.250 0.750 1
```

Calculated volume: 25.007 Å³/atom

---

two.
Entry from Alexandria via LeMat-Bulk: a relaxed CaScCdIn crystal (PBE).

```
data_CaScCdIn
_cell_length_a 3.634
_cell_length_b 3.634
_cell_length_c 7.610
_cell_angle_alpha 90.00
_cell_angle_beta 90.00
_cell_angle_gamma 90.00
_symmetry_space_group_name_H-M 'P 4 m m'
_symmetry_Int_Tables_number 99
loop_
_symmetry_equiv_pos_as_xyz
'x,y,z'
'-y,x,z'
'-x,-y,z'
'y,-x,z'
'-x,y,z'
'y,x,z'
'x,-y,z'
'-y,-x,z'
loop_
_atom_site_label
_atom_site_type_symbol
_atom_site_fract_x
_atom_site_fract_y
_atom_site_fract_z
_atom_site_occupancy
Ca1 Ca 0.000 0.000 0.000 1
Sc1 Sc 0.000 0.000 0.508 1
Cd1 Cd 0.500 0.500 0.727 1
In1 In 0.500 0.500 0.277 1
```

Calculated volume: 25.126 Å³/atom

---

Most favorable structure: two. The second most favorable one is 2.2 kJ/mol of atoms above it.

---

one.
Entry from Alexandria via LeMat-Bulk: a relaxed In2AsBr crystal (PBE).

```
data_In2AsBr
_cell_length_a 3.473
_cell_length_b 5.106
_cell_length_c 12.122
_cell_angle_alpha 90.00
_cell_angle_beta 90.00
_cell_angle_gamma 90.00
_symmetry_space_group_name_H-M 'I m m m'
_symmetry_Int_Tables_number 71
_symmetry_space_group_name_Hall '-I 2 2'
loop_
_atom_site_label
_atom_site_type_symbol
_atom_site_fract_x
_atom_site_fract_y
_atom_site_fract_z
_atom_site_occupancy
In1 In 0.000 0.000 0.198 1
As1 As 0.000 0.500 0.500 1
Br1 Br 0.000 0.500 0.000 1
```

Calculated volume: 26.869 Å³/atom

---

two.
Entry from Alexandria via LeMat-Bulk: a relaxed In2AsBr crystal (PBE).

```
data_In2AsBr
_cell_length_a 3.472
_cell_length_b 4.978
_cell_length_c 12.201
_cell_angle_alpha 90.00
_cell_angle_beta 90.00
_cell_angle_gamma 90.00
_symmetry_space_group_name_H-M 'I m m 2'
_symmetry_Int_Tables_number 44
loop_
_symmetry_equiv_pos_as_xyz
'x,y,z'
'-x,-y,z'
'-x,y,z'
'x,-y,z'
'x+1/2,y+1/2,z+1/2'
'-x+1/2,-y+1/2,z+1/2'
'-x+1/2,y+1/2,z+1/2'
'x+1/2,-y+1/2,z+1/2'
loop_
_atom_site_label
_atom_site_type_symbol
_atom_site_fract_x
_atom_site_fract_y
_atom_site_fract_z
_atom_site_occupancy
In1 In 0.000 0.000 0.000 1
In2 In 0.000 0.500 0.264 1
As1 As 0.000 0.500 0.692 1
Br1 Br 0.000 0.000 0.471 1
```

Calculated volume: 26.355 Å³/atom

---

Most favorable structure: two. The second most favorable one is 11.7 kJ/mol of atoms above it.

---

one.
Entry from Alexandria via LeMat-Bulk: a relaxed Ca2OsCl crystal (PBE).

```
data_Ca2OsCl
_cell_length_a 3.160
_cell_length_b 4.902
_cell_length_c 12.586
_cell_angle_alpha 90.00
_cell_angle_beta 90.00
_cell_angle_gamma 90.00
_symmetry_space_group_name_H-M 'I m m 2'
_symmetry_Int_Tables_number 44
loop_
_symmetry_equiv_pos_as_xyz
'x,y,z'
'-x,-y,z'
'-x,y,z'
'x,-y,z'
'x+1/2,y+1/2,z+1/2'
'-x+1/2,-y+1/2,z+1/2'
'-x+1/2,y+1/2,z+1/2'
'x+1/2,-y+1/2,z+1/2'
loop_
_atom_site_label
_atom_site_type_symbol
_atom_site_fract_x
_atom_site_fract_y
_atom_site_fract_z
_atom_site_occupancy
Ca1 Ca 0.000 0.000 0.000 1
Ca2 Ca 0.000 0.500 0.186 1
Os1 Os 0.000 0.000 0.484 1
Cl1 Cl 0.000 0.500 0.716 1
```

Calculated volume: 24.371 Å³/atom

---

two.
Entry from Alexandria via LeMat-Bulk: a relaxed Ca2OsCl crystal (PBE).

```
data_Ca2OsCl
_cell_length_a 3.208
_cell_length_b 4.922
_cell_length_c 5.761
_cell_angle_alpha 90.00
_cell_angle_beta 90.00
_cell_angle_gamma 90.00
_symmetry_space_group_name_H-M 'P m m m'
_symmetry_Int_Tables_number 47
loop_
_symmetry_equiv_pos_as_xyz
'x,y,z'
'-x,-y,-z'
'-x,-y,z'
'x,y,-z'
'x,-y,-z'
'-x,y,z'
'-x,y,-z'
'x,-y,z'
loop_
_atom_site_label
_atom_site_type_symbol
_atom_site_fract_x
_atom_site_fract_y
_atom_site_fract_z
_atom_site_occupancy
Ca1 Ca 0.000 0.000 0.000 1
Ca2 Ca 0.500 0.500 0.500 1
Os1 Os 0.000 0.000 0.500 1
Cl1 Cl 0.500 0.500 0.000 1
```

Calculated volume: 22.747 Å³/atom

---

Most favorable structure: two. The second most favorable one is 18.8 kJ/mol of atoms above it.